1.
Crystalline PmTl2SeO8 at its relaxed geometry, computed with PBE.

CIF file:
```
data_PmTl2SeO8
_symmetry_space_group_name_H-M 'P 1'
_symmetry_Int_Tables_number 1
_cell_length_a 4.7179
_cell_length_b 5.0296
_cell_length_c 6.9092
_cell_angle_alpha 90.29
_cell_angle_beta 90.08
_cell_angle_gamma 91.79
loop_
_symmetry_equiv_pos_as_xyz
'x,y,z'
loop_
_atom_site_label
_atom_site_type_symbol
_atom_site_fract_x
_atom_site_fract_y
_atom_site_fract_z
_atom_site_occupancy
Pm1 Pm 0.0000 0.0000 0.0000 1
Tl1 Tl 0.4986 0.4980 0.7364 1
Tl2 Tl 0.5014 0.5020 0.2636 1
Se1 Se 0.0000 0.0000 0.5000 1
O1 O 0.1351 0.7966 0.3010 1
O2 O 0.1374 0.7989 0.6978 1
O3 O 0.3228 0.2208 0.4990 1
O4 O 0.4445 0.2395 0.0009 1
O5 O 0.5555 0.7605 0.9991 1
O6 O 0.6772 0.7792 0.5010 1
O7 O 0.8626 0.2011 0.3022 1
O8 O 0.8649 0.2034 0.6990 1
```

Values from the calculation:
Total energy   -64.50 eV per cell
SG   P-1
Size of the total moment   1.1 μB/cell
DOS at the Fermi energy   5.47 states/eV per cell
Formation energy without anion corrections   -0.9890 eV per atom

2.
Crystalline KNa2Cr2 at its relaxed geometry, computed with PBE.

CIF file:
```
data_KNa2Cr2
_symmetry_space_group_name_H-M 'P 1'
_symmetry_Int_Tables_number 1
_cell_length_a 9.2055
_cell_length_b 9.2055
_cell_length_c 3.1366
_cell_angle_alpha 90.00
_cell_angle_beta 90.00
_cell_angle_gamma 90.00
loop_
_symmetry_equiv_pos_as_xyz
'x,y,z'
loop_
_atom_site_label
_atom_site_type_symbol
_atom_site_fract_x
_atom_site_fract_y
_atom_site_fract_z
_atom_site_occupancy
K1 K 0.0000 0.0000 0.0000 1
K2 K 0.5000 0.5000 0.0000 1
Na1 Na 0.2063 0.2937 0.5000 1
Na2 Na 0.2937 0.7937 0.5000 1
Na3 Na 0.7063 0.2063 0.5000 1
Na4 Na 0.7937 0.7063 0.5000 1
Cr1 Cr 0.0680 0.5680 0.0000 1
Cr2 Cr 0.4320 0.0680 0.0000 1
Cr3 Cr 0.5680 0.9320 0.0000 1
Cr4 Cr 0.9320 0.4320 0.0000 1
```

Values from the calculation:
Distance to the lowest polymorph of the same formula   0.00 eV per formula unit
Total energy   -36.73 eV per cell
Energy of formation   0.923 eV per atom
SG   P4/mbm
Size of the total moment   2.2 μB/cell
DOS at the Fermi energy   8.26 states/eV per cell

3.
Crystalline SiPd3Pb at its relaxed geometry, computed with PBE.

CIF file:
```
data_SiPd3Pb
_symmetry_space_group_name_H-M 'P 1'
_symmetry_Int_Tables_number 1
_cell_length_a 4.6276
_cell_length_b 4.6276
_cell_length_c 4.6276
_cell_angle_alpha 90.00
_cell_angle_beta 90.00
_cell_angle_gamma 90.00
loop_
_symmetry_equiv_pos_as_xyz
'x,y,z'
loop_
_atom_site_label
_atom_site_type_symbol
_atom_site_fract_x
_atom_site_fract_y
_atom_site_fract_z
_atom_site_occupancy
Si1 Si 0.0000 0.0000 0.0000 1
Pd1 Pd 0.0000 0.0000 0.5000 1
Pd2 Pd 0.0000 0.5000 0.0000 1
Pd3 Pd 0.5000 0.0000 0.0000 1
Pb1 Pb 0.5000 0.5000 0.5000 1
```

Values from the calculation:
Distance to the lowest polymorph of the same formula   0.00 eV per formula unit
Total energy   -25.70 eV per cell
SG   Pm-3m
Size of the total moment   0.0 μB/cell
DOS at the Fermi energy   2.15 states/eV per cell
Formation energy without anion corrections   -0.1974 eV per atom

4.
Crystalline VGaPd3 at its relaxed geometry, computed with PBE.

CIF file:
```
data_VGaPd3
_symmetry_space_group_name_H-M 'P 1'
_symmetry_Int_Tables_number 1
_cell_length_a 4.5895
_cell_length_b 4.5895
_cell_length_c 4.5895
_cell_angle_alpha 90.00
_cell_angle_beta 90.00
_cell_angle_gamma 90.00
loop_
_symmetry_equiv_pos_as_xyz
'x,y,z'
loop_
_atom_site_label
_atom_site_type_symbol
_atom_site_fract_x
_atom_site_fract_y
_atom_site_fract_z
_atom_site_occupancy
V1 V 0.0000 0.0000 0.0000 1
Ga1 Ga 0.5000 0.5000 0.5000 1
Pd1 Pd 0.0000 0.5000 0.5000 1
Pd2 Pd 0.5000 0.0000 0.5000 1
Pd3 Pd 0.5000 0.5000 0.0000 1
```

Values from the calculation:
Distance to the lowest polymorph of the same formula   3.74 eV per formula unit
Total energy   -25.56 eV per cell
Energy of formation   0.432 eV per atom
SG   Pm-3m
Size of the total moment   3.6 μB/cell
DOS at the Fermi energy   7.57 states/eV per cell